(1)
{"formula": "Pr5Os2Au2", "functional": "GGA-PBE", "state": "relaxed", "lattice_angstrom": [[7.961, -3.914, 0.000], [7.961, 3.914, 0.000], [0.000, 0.000, 7.780]], "species": ["Pr", "Pr", "Pr", "Pr", "Pr", "Pr", "Pr", "Pr", "Pr", "Pr", "Os", "Os", "Os", "Os", "Au", "Au", "Au", "Au"], "fractional_positions": [[0.000, 0.000, 0.000], [0.052, 0.687, 0.680], [0.187, 0.552, 0.180], [0.313, 0.948, 0.680], [0.448, 0.813, 0.180], [0.500, 0.500, 0.500], [0.552, 0.187, 0.820], [0.687, 0.052, 0.320], [0.813, 0.448, 0.820], [0.948, 0.313, 0.320], [0.114, 0.886, 0.389], [0.386, 0.614, 0.889], [0.614, 0.386, 0.111], [0.886, 0.114, 0.611], [0.214, 0.214, 0.000], [0.286, 0.286, 0.500], [0.714, 0.714, 0.500], [0.786, 0.786, 0.000]], "delta_e_f_ev_per_atom": -0.3499, "spacegroup": "Cmce, No. 64"}


(2)
{"formula": "LiPmIrAu", "functional": "GGA-PBE", "state": "relaxed", "lattice_angstrom": [[6.816, 0.000, 0.000], [0.000, 6.816, 0.000], [0.000, 0.000, 6.816]], "species": ["Li", "Li", "Li", "Li", "Pm", "Pm", "Pm", "Pm", "Ir", "Ir", "Ir", "Ir", "Au", "Au", "Au", "Au"], "fractional_positions": [[0.000, 0.000, 0.000], [0.000, 0.500, 0.500], [0.500, 0.000, 0.500], [0.500, 0.500, 0.000], [0.000, 0.000, 0.500], [0.000, 0.500, 0.000], [0.500, 0.000, 0.000], [0.500, 0.500, 0.500], [0.250, 0.250, 0.750], [0.250, 0.750, 0.250], [0.750, 0.250, 0.250], [0.750, 0.750, 0.750], [0.250, 0.250, 0.250], [0.250, 0.750, 0.750], [0.750, 0.250, 0.750], [0.750, 0.750, 0.250]], "delta_e_f_ev_per_atom": -0.4129, "spacegroup": "F-43m, No. 216"}


(3)
{"formula": "Ce12TmCo6", "functional": "GGA-PBE", "state": "relaxed", "lattice_angstrom": [[5.016, 2.896, 4.959], [-5.016, 2.896, 4.959], [0.000, -5.792, 4.959]], "species": ["Ce", "Ce", "Ce", "Ce", "Ce", "Ce", "Ce", "Ce", "Ce", "Ce", "Ce", "Ce", "Tm", "Co", "Co", "Co", "Co", "Co", "Co"], "fractional_positions": [[0.115, 0.115, 0.546], [0.115, 0.546, 0.115], [0.161, 0.558, 0.558], [0.442, 0.442, 0.839], [0.442, 0.839, 0.442], [0.454, 0.885, 0.885], [0.546, 0.115, 0.115], [0.558, 0.161, 0.558], [0.558, 0.558, 0.161], [0.839, 0.442, 0.442], [0.885, 0.454, 0.885], [0.885, 0.885, 0.454], [0.000, 0.000, 0.000], [0.162, 0.755, 0.755], [0.245, 0.245, 0.838], [0.245, 0.838, 0.245], [0.755, 0.162, 0.755], [0.755, 0.755, 0.162], [0.838, 0.245, 0.245]], "delta_e_f_ev_per_atom": 0.0379, "spacegroup": "R-3m, No. 166"}


(4)
{"formula": "Sr3Ac2PaN6", "functional": "GGA-PBE", "state": "relaxed", "lattice_angstrom": [[3.287, -5.679, 0.000], [3.287, 5.679, 0.000], [-2.230, 0.000, 6.123]], "species": ["Sr", "Sr", "Sr", "Ac", "Ac", "Pa", "N", "N", "N", "N", "N", "N"], "fractional_positions": [[0.000, 0.000, 0.000], [0.341, 0.659, 0.000], [0.659, 0.341, 0.000], [0.167, 0.833, 0.500], [0.833, 0.167, 0.500], [0.500, 0.500, 0.500], [0.133, 0.428, 0.283], [0.271, 0.271, 0.713], [0.428, 0.133, 0.283], [0.572, 0.867, 0.717], [0.729, 0.729, 0.287], [0.867, 0.572, 0.717]], "formation_energy_uncorrected_ev_per_atom": -1.04, "spacegroup": "C2/m, No. 12"}